# LaTmMgZr

A relaxed structure of LaTmMgZr (PBE, Alexandria).

The structure in CIF format:
```
data_LaTmMgZr
_chemical_formula_sum 'La1 Tm1 Mg1 Zr1'
_cell_length_a 5.4132
_cell_length_b 5.4132
_cell_length_c 5.4132
_cell_angle_alpha 60.00
_cell_angle_beta 60.00
_cell_angle_gamma 60.00
_symmetry_space_group_name_H-M 'P 1'
_symmetry_Int_Tables_number 1
_symmetry_space_group_name_Hall 'P 1'
loop_
_atom_site_label
_atom_site_fract_x
_atom_site_fract_y
_atom_site_fract_z
La1 0.0000 0.0000 0.0000
Tm1 0.5000 0.5000 0.5000
Mg1 0.2500 0.2500 0.2500
Zr1 0.7500 0.7500 0.7500
```

Summary:
Size of the total moment = 0.461 μB per atom
ΔH_f (0 K) = 12 kJ per mole of atoms

***

# La2MgV2

A relaxed structure of La2MgV2 (PBE, Alexandria).

The structure in CIF format:
```
data_La2MgV2
_chemical_formula_sum 'La4 Mg2 V4'
_cell_length_a 8.3506
_cell_length_b 8.3506
_cell_length_c 3.8245
_cell_angle_alpha 90.00
_cell_angle_beta 90.00
_cell_angle_gamma 90.00
_symmetry_space_group_name_H-M 'P 1'
_symmetry_Int_Tables_number 1
_symmetry_space_group_name_Hall 'P 1'
loop_
_atom_site_label
_atom_site_fract_x
_atom_site_fract_y
_atom_site_fract_z
La1 0.2031 0.2969 0.0000
La2 0.2969 0.7969 0.0000
La3 0.7031 0.2031 0.0000
La4 0.7969 0.7031 0.0000
Mg1 0.0000 0.0000 0.5000
Mg2 0.5000 0.5000 0.5000
V1 0.0800 0.5800 0.5000
V2 0.4200 0.0800 0.5000
V3 0.5800 0.9200 0.5000
V4 0.9200 0.4200 0.5000
```

Summary:
Energy above the most stable polymorph in this dataset = 0 meV/atom
Size of the total moment = 0.000 μB per atom
ΔH_f (0 K) = 35 kJ per mole of atoms

***

# La3MgV

A relaxed structure of La3MgV (PBE, Alexandria).

The structure in CIF format:
```
data_La3MgV
_chemical_formula_sum 'La3 Mg1 V1'
_cell_length_a 5.4754
_cell_length_b 5.4754
_cell_length_c 5.4754
_cell_angle_alpha 90.00
_cell_angle_beta 90.00
_cell_angle_gamma 90.00
_symmetry_space_group_name_H-M 'P 1'
_symmetry_Int_Tables_number 1
_symmetry_space_group_name_Hall 'P 1'
loop_
_atom_site_label
_atom_site_fract_x
_atom_site_fract_y
_atom_site_fract_z
La1 0.0000 0.0000 0.5000
La2 0.0000 0.5000 0.0000
La3 0.5000 0.0000 0.0000
Mg1 0.5000 0.5000 0.5000
V1 0.0000 0.0000 0.0000
```

Summary:
Size of the total moment = 0.127 μB per atom
ΔH_f (0 K) = 30 kJ per mole of atoms

***

# La2MgV2

A relaxed structure of La2MgV2 (PBE, Alexandria).

The structure in CIF format:
```
data_La2MgV2
_chemical_formula_sum 'La4 Mg2 V4'
_cell_length_a 8.8238
_cell_length_b 8.8238
_cell_length_c 3.3596
_cell_angle_alpha 90.00
_cell_angle_beta 90.00
_cell_angle_gamma 90.00
_symmetry_space_group_name_H-M 'P 1'
_symmetry_Int_Tables_number 1
_symmetry_space_group_name_Hall 'P 1'
loop_
_atom_site_label
_atom_site_fract_x
_atom_site_fract_y
_atom_site_fract_z
La1 0.1358 0.3642 0.0000
La2 0.3642 0.8642 0.0000
La3 0.6358 0.1358 0.0000
La4 0.8642 0.6358 0.0000
Mg1 0.0000 0.0000 0.0000
Mg2 0.5000 0.5000 0.0000
V1 0.1718 0.6718 0.5000
V2 0.3282 0.1718 0.5000
V3 0.6718 0.8282 0.5000
V4 0.8282 0.3282 0.5000
```

Summary:
Energy above the most stable polymorph in this dataset = 323 meV/atom
Size of the total moment = 1.153 μB per atom
ΔH_f (0 K) = 66 kJ per mole of atoms

***

# LaMg2V

A relaxed structure of LaMg2V (PBE, Alexandria).

The structure in CIF format:
```
data_LaMg2V
_chemical_formula_sum 'La1 Mg2 V1'
_cell_length_a 5.1907
_cell_length_b 5.1907
_cell_length_c 5.1907
_cell_angle_alpha 60.00
_cell_angle_beta 60.00
_cell_angle_gamma 60.00
_symmetry_space_group_name_H-M 'P 1'
_symmetry_Int_Tables_number 1
_symmetry_space_group_name_Hall 'P 1'
loop_
_atom_site_label
_atom_site_fract_x
_atom_site_fract_y
_atom_site_fract_z
La1 0.0000 0.0000 0.0000
Mg1 0.2500 0.2500 0.2500
Mg2 0.7500 0.7500 0.7500
V1 0.5000 0.5000 0.5000
```

Summary:
Energy above the most stable polymorph in this dataset = 0 meV/atom
Size of the total moment = 0.897 μB per atom
ΔH_f (0 K) = 28 kJ per mole of atoms

***

# LaMg6V

A relaxed structure of LaMg6V (PBE, Alexandria).

The structure in CIF format:
```
data_LaMg6V
_chemical_formula_sum 'La1 Mg6 V1'
_cell_length_a 5.0946
_cell_length_b 6.7217
_cell_length_c 6.7217
_cell_angle_alpha 57.93
_cell_angle_beta 90.00
_cell_angle_gamma 90.00
_symmetry_space_group_name_H-M 'P 1'
_symmetry_Int_Tables_number 1
_symmetry_space_group_name_Hall 'P 1'
loop_
_atom_site_label
_atom_site_fract_x
_atom_site_fract_y
_atom_site_fract_z
La1 0.0000 0.0000 0.0000
Mg1 0.0000 0.4702 0.4702
Mg2 0.0000 0.4847 0.9931
Mg3 0.0000 0.9931 0.4847
Mg4 0.5000 0.1397 0.6283
Mg5 0.5000 0.6283 0.1397
Mg6 0.5000 0.6350 0.6350
V1 0.5000 0.1532 0.1532
```

Summary:
Energy above the most stable polymorph in this dataset = 4 meV/atom
Size of the total moment = 0.438 μB per atom
ΔH_f (0 K) = 18 kJ per mole of atoms

***

# LaMg3V

A relaxed structure of LaMg3V (PBE, Alexandria).

The structure in CIF format:
```
data_LaMg3V
_chemical_formula_sum 'La1 Mg3 V1'
_cell_length_a 5.1773
_cell_length_b 5.1773
_cell_length_c 5.1773
_cell_angle_alpha 90.00
_cell_angle_beta 90.00
_cell_angle_gamma 90.00
_symmetry_space_group_name_H-M 'P 1'
_symmetry_Int_Tables_number 1
_symmetry_space_group_name_Hall 'P 1'
loop_
_atom_site_label
_atom_site_fract_x
_atom_site_fract_y
_atom_site_fract_z
La1 0.0000 0.0000 0.0000
Mg1 0.0000 0.5000 0.5000
Mg2 0.5000 0.0000 0.5000
Mg3 0.5000 0.5000 0.0000
V1 0.5000 0.5000 0.5000
```

Summary:
Size of the total moment = 0.667 μB per atom
ΔH_f (0 K) = 43 kJ per mole of atoms

***

# LaMg6V

A relaxed structure of LaMg6V (PBE, Alexandria).

The structure in CIF format:
```
data_LaMg6V
_chemical_formula_sum 'La1 Mg6 V1'
_cell_length_a 5.1871
_cell_length_b 6.7908
_cell_length_c 6.7908
_cell_angle_alpha 54.16
_cell_angle_beta 90.00
_cell_angle_gamma 90.00
_symmetry_space_group_name_H-M 'P 1'
_symmetry_Int_Tables_number 1
_symmetry_space_group_name_Hall 'P 1'
loop_
_atom_site_label
_atom_site_fract_x
_atom_site_fract_y
_atom_site_fract_z
La1 0.0000 0.0000 0.0000
Mg1 0.0000 0.4990 0.9917
Mg2 0.0000 0.9917 0.4990
Mg3 0.5000 0.1476 0.6352
Mg4 0.5000 0.1644 0.1644
Mg5 0.5000 0.6172 0.6172
Mg6 0.5000 0.6352 0.1476
V1 0.0000 0.4695 0.4695
```

Summary:
Energy above the most stable polymorph in this dataset = 0 meV/atom
Size of the total moment = 0.413 μB per atom
ΔH_f (0 K) = 17 kJ per mole of atoms

***

# La2MgV2

A relaxed structure of La2MgV2 (PBE, Alexandria).

The structure in CIF format:
```
data_La2MgV2
_chemical_formula_sum 'La2 Mg1 V2'
_cell_length_a 7.2572
_cell_length_b 7.2572
_cell_length_c 7.2572
_cell_angle_alpha 143.80
_cell_angle_beta 143.80
_cell_angle_gamma 52.13
_symmetry_space_group_name_H-M 'P 1'
_symmetry_Int_Tables_number 1
_symmetry_space_group_name_Hall 'P 1'
loop_
_atom_site_label
_atom_site_fract_x
_atom_site_fract_y
_atom_site_fract_z
La1 0.2500 0.7500 0.5000
La2 0.7500 0.2500 0.5000
Mg1 0.0000 0.0000 0.0000
V1 0.4295 0.4295 0.0000
V2 0.5705 0.5705 0.0000
```

Summary:
Energy above the most stable polymorph in this dataset = 373 meV/atom
Size of the total moment = 0.000 μB per atom
ΔH_f (0 K) = 71 kJ per mole of atoms

***

# La2MgV2

A relaxed structure of La2MgV2 (PBE, Alexandria).

The structure in CIF format:
```
data_La2MgV2
_chemical_formula_sum 'La2 Mg1 V2'
_cell_length_a 11.1398
_cell_length_b 11.1398
_cell_length_c 11.1398
_cell_angle_alpha 162.32
_cell_angle_beta 162.32
_cell_angle_gamma 25.10
_symmetry_space_group_name_H-M 'P 1'
_symmetry_Int_Tables_number 1
_symmetry_space_group_name_Hall 'P 1'
loop_
_atom_site_label
_atom_site_fract_x
_atom_site_fract_y
_atom_site_fract_z
La1 0.1207 0.1207 0.0000
La2 0.8793 0.8793 0.0000
Mg1 0.5000 0.5000 0.0000
V1 0.2500 0.7500 0.5000
V2 0.7500 0.2500 0.5000
```

Summary:
Energy above the most stable polymorph in this dataset = 36 meV/atom
Size of the total moment = 0.000 μB per atom
ΔH_f (0 K) = 39 kJ per mole of atoms

***

# LaMg2V

A relaxed structure of LaMg2V (PBE, Alexandria).

The structure in CIF format:
```
data_LaMg2V
_chemical_formula_sum 'La2 Mg4 V2'
_cell_length_a 11.6075
_cell_length_b 11.6075
_cell_length_c 11.6075
_cell_angle_alpha 158.35
_cell_angle_beta 158.35
_cell_angle_gamma 30.81
_symmetry_space_group_name_H-M 'P 1'
_symmetry_Int_Tables_number 1
_symmetry_space_group_name_Hall 'P 1'
loop_
_atom_site_label
_atom_site_fract_x
_atom_site_fract_y
_atom_site_fract_z
La1 0.0000 0.0000 0.0000
La2 0.7500 0.2500 0.5000
Mg1 0.1605 0.6250 0.0355
Mg2 0.3750 0.4105 0.5355
Mg3 0.5895 0.1250 0.9645
Mg4 0.8750 0.8395 0.4645
V1 0.2500 0.7500 0.5000
V2 0.5000 0.5000 0.0000
```

Summary:
Energy above the most stable polymorph in this dataset = 257 meV/atom
Size of the total moment = 0.929 μB per atom
ΔH_f (0 K) = 53 kJ per mole of atoms

***

# LaMgW2

A relaxed structure of LaMgW2 (PBE, Alexandria).

The structure in CIF format:
```
data_LaMgW2
_chemical_formula_sum 'La1 Mg1 W2'
_cell_length_a 5.9430
_cell_length_b 5.9430
_cell_length_c 5.9430
_cell_angle_alpha 146.18
_cell_angle_beta 129.30
_cell_angle_gamma 62.34
_symmetry_space_group_name_H-M 'P 1'
_symmetry_Int_Tables_number 1
_symmetry_space_group_name_Hall 'P 1'
loop_
_atom_site_label
_atom_site_fract_x
_atom_site_fract_y
_atom_site_fract_z
La1 0.0000 0.0000 0.0000
Mg1 0.7176 0.2176 0.5000
W1 0.2682 0.7682 0.5000
W2 0.4432 0.4432 0.0000
```

Summary:
Energy above the most stable polymorph in this dataset = 310 meV/atom
Size of the total moment = 0.000 μB per atom
ΔH_f (0 K) = 60 kJ per mole of atoms

***

# LaMgW2

A relaxed structure of LaMgW2 (PBE, Alexandria).

The structure in CIF format:
```
data_LaMgW2
_chemical_formula_sum 'La2 Mg2 W4'
_cell_length_a 6.3114
_cell_length_b 6.3114
_cell_length_c 6.3114
_cell_angle_alpha 100.63
_cell_angle_beta 100.63
_cell_angle_gamma 129.12
_symmetry_space_group_name_H-M 'P 1'
_symmetry_Int_Tables_number 1
_symmetry_space_group_name_Hall 'P 1'
loop_
_atom_site_label
_atom_site_fract_x
_atom_site_fract_y
_atom_site_fract_z
La1 0.0000 0.0000 0.0000
La2 0.7500 0.2500 0.5000
Mg1 0.2500 0.7500 0.5000
Mg2 0.5000 0.5000 0.0000
W1 0.1626 0.6250 0.0376
W2 0.3750 0.4126 0.5376
W3 0.5874 0.1250 0.9624
W4 0.8750 0.8374 0.4624
```

Summary:
Energy above the most stable polymorph in this dataset = 1056 meV/atom
Size of the total moment = 0.000 μB per atom
ΔH_f (0 K) = 132 kJ per mole of atoms